1.
DFT (PBEsol) results for crystalline ZrCdPt2 at its relaxed geometry.

Cell: 2.958 3.525 6.715 Å, 90.00 90.00 90.00°
Sites, in units of the cell vectors:
Zr  0.500  0.500  0.000
Pt  0.000  0.000  0.758
Cd  0.500  0.500  0.500
Pt  0.000  0.000  0.242

=====

2.
DFT (PBEsol) results for crystalline Rb3Cd at its relaxed geometry.

Cell: 6.077 6.077 6.077 Å, 90.00 90.00 90.00°
Sites, in units of the cell vectors:
Rb  0.000  0.500  0.500
Rb  0.500  0.000  0.500
Cd  0.000  0.000  0.000
Rb  0.500  0.500  0.000

=====

no.,energy (eV for the cell shown),E_form (eV per atom)
1,-27.08,-0.717
2,-3.88,0.098